## OsRu2Pb (PBE-GGA)

Data for an optimized crystal structure of OsRu2Pb.

Summary:
ΔH_f (0 K) = 0.81 eV/atom
space group = F-43m (216)
DOS at the Fermi energy = 1.333 states/eV per atom

Cell lengths 4.5223, 4.5223, 4.5223 Å; angles 60.00, 60.00, 60.00 degrees
Element x y z (fractional)
Os (0.5000, 0.5000, 0.5000)
Pb (0.7500, 0.7500, 0.7500)
Ru (0.0000, 0.0000, 0.0000)
Ru (0.2500, 0.2500, 0.2500)

## La2P3H7O11 (PBE-GGA)

Data for an optimized crystal structure of La2P3H7O11.

Summary:
space group = P-1 (2)
electronic total energy = -6.50 eV per atom
DOS at the Fermi energy = 0.000 states/eV per atom

Cell lengths 8.3806, 8.4322, 9.5473 Å; angles 61.50, 68.07, 75.38 degrees
Element x y z (fractional)
La (0.3910, 0.4314, 0.3652)
La (0.1860, 0.7737, 0.9877)
La (0.8140, 0.2263, 0.0123)
La (0.6090, 0.5686, 0.6348)
P (0.9885, 0.1743, 0.6642)
P (0.0115, 0.8257, 0.3358)
P (0.8307, 0.4694, 0.2628)
P (0.1693, 0.5306, 0.7372)
P (0.6199, 0.7120, 0.8981)
P (0.3801, 0.2880, 0.1019)
H (0.6708, 0.1449, 0.4623)
H (0.5396, 0.0049, 0.6152)
H (0.7194, 0.8509, 0.8508)
H (0.5772, 0.8929, 0.1990)
H (0.9239, 0.0867, 0.6043)
H (0.3292, 0.8551, 0.5377)
H (0.2415, 0.1697, 0.8976)
H (0.4604, 0.9951, 0.3848)
H (0.0446, 0.6158, 0.6518)
H (0.9554, 0.3842, 0.3482)
H (0.7585, 0.8303, 0.1024)
H (0.2806, 0.1491, 0.1492)
H (0.0761, 0.9133, 0.3957)
H (0.4228, 0.1071, 0.8010)
O (0.5035, 0.7876, 0.7793)
O (0.9954, 0.9651, 0.1617)
O (0.2102, 0.6707, 0.7767)
O (0.9029, 0.6427, 0.1121)
O (0.3375, 0.4848, 0.6142)
O (0.5030, 0.6651, 0.0777)
O (0.8392, 0.7596, 0.4638)
O (0.6774, 0.9397, 0.1027)
O (0.4425, 0.8640, 0.4533)
O (0.3226, 0.0603, 0.8973)
O (0.7898, 0.3293, 0.2233)
O (0.5575, 0.1360, 0.5467)
O (0.2587, 0.4446, 0.1341)
O (0.1517, 0.6748, 0.3083)
O (0.7413, 0.5554, 0.8659)
O (0.4970, 0.3349, 0.9223)
O (0.4965, 0.2124, 0.2207)
O (0.0971, 0.3573, 0.8879)
O (0.6625, 0.5152, 0.3858)
O (0.8483, 0.3252, 0.6917)
O (0.0046, 0.0349, 0.8383)
O (0.1608, 0.2404, 0.5362)

## Na2LaSc2 (PBE-GGA)

Data for an optimized crystal structure of Na2LaSc2.

Summary:
ΔH_f (0 K) = 0.43 eV/atom
space group = I4/mmm (139)
DOS at the Fermi energy = 1.115 states/eV per atom

Cell lengths 4.3630, 4.3630, 8.9409 Å; angles 75.88, 75.88, 90.00 degrees
Element x y z (fractional)
Sc (0.4112, 0.4112, 0.1777)
Sc (0.5888, 0.5888, 0.8223)
Na (0.7500, 0.2500, 0.5000)
Na (0.2500, 0.7500, 0.5000)
La (0.0000, 0.0000, 0.0000)

## Ca3Zn3Ni (PBE-GGA)

Data for an optimized crystal structure of Ca3Zn3Ni.

Summary:
ΔH_f (0 K) = -0.25 eV/atom
space group = C2/m (12)
DOS at the Fermi energy = 0.603 states/eV per atom

Cell lengths 4.0705, 5.8712, 14.7929 Å; angles 82.91, 82.09, 69.72 degrees
Element x y z (fractional)
Ca (0.5164, 0.3548, 0.6123)
Ca (0.4836, 0.6452, 0.3877)
Ca (0.2524, 0.2531, 0.2420)
Ca (0.7476, 0.7469, 0.7580)
Ca (0.3871, 0.3053, 0.9204)
Ca (0.6129, 0.6947, 0.0796)
Zn (0.8182, 0.8265, 0.5371)
Zn (0.1818, 0.1735, 0.4629)
Zn (0.0980, 0.8826, 0.9214)
Zn (0.9020, 0.1174, 0.0786)
Zn (0.9585, 0.8462, 0.2368)
Zn (0.0415, 0.1538, 0.7632)
Ni (0.7801, 0.0595, 0.3804)
Ni (0.2199, 0.9405, 0.6196)

## Pr2PuAu (PBE-GGA)

Data for an optimized crystal structure of Pr2PuAu.

Summary:
ΔH_f (0 K) = -0.03 eV/atom
space group = Fm-3m (225)
DOS at the Fermi energy = 3.974 states/eV per atom

Cell lengths 5.4114, 5.4114, 5.4110 Å; angles 60.00, 60.00, 60.00 degrees
Element x y z (fractional)
Pr (0.2500, 0.2500, 0.2501)
Pr (0.7500, 0.7500, 0.7499)
Au (0.0000, 0.0000, 0.0000)
Pu (0.5000, 0.5000, 0.5000)

## Si3NiI (PBE-GGA)

Data for an optimized crystal structure of Si3NiI.

Summary:
space group = P2_1/m (11)
DOS at the Fermi energy = 0.328 states/eV per atom
E_form (uncorrected) = -11.4 kJ/mol of atoms

Cell lengths 4.0786, 3.7610, 13.6657 Å; angles 90.00, 90.14, 90.00 degrees
Element x y z (fractional)
Si (0.9391, 0.2500, 0.7969)
Si (0.0609, 0.7500, 0.2031)
Si (0.7276, 0.2500, 0.0051)
Si (0.2724, 0.7500, 0.9949)
Si (0.7078, 0.2500, 0.1905)
Si (0.2922, 0.7500, 0.8095)
Ni (0.2315, 0.2500, 0.0985)
Ni (0.7685, 0.7500, 0.9015)
I (0.7281, 0.2500, 0.6252)
I (0.2719, 0.7500, 0.3748)

## Al2OsRuO (PBE-GGA)

Data for an optimized crystal structure of Al2OsRuO.

Summary:
space group = P4/mmm (123)
DOS at the Fermi energy = 0.692 states/eV per atom
E_form (uncorrected) = -20.4 kJ/mol of atoms

Cell lengths 4.0480, 3.9357, 4.0480 Å; angles 90.00, 90.00, 90.00 degrees
Element x y z (fractional)
Ru (0.5000, 0.5000, 0.5000)
Os (0.0000, 0.5000, 0.0000)
Al (0.0000, 0.0000, 0.5000)
Al (0.5000, 0.0000, 0.0000)
O (0.0000, 0.0000, 0.0000)

## HfZr2Mo (PBE-GGA)

Data for an optimized crystal structure of HfZr2Mo.

Summary:
ΔH_f (0 K) = 0.12 eV/atom
space group = Fm-3m (225)
DOS at the Fermi energy = 1.785 states/eV per atom

Cell lengths 4.8701, 4.8701, 4.8701 Å; angles 60.00, 60.00, 60.00 degrees
Element x y z (fractional)
Mo (0.5000, 0.5000, 0.5000)
Hf (0.0000, 0.0000, 0.0000)
Zr (0.2500, 0.2500, 0.2500)
Zr (0.7500, 0.7500, 0.7500)

Question: Which value of DOS at the Fermi energy does entry 1 give?
Answer: 1.333 states/eV per atom